# 1
This record from Alexandria describes a geometry-optimized Rb4Tl3Sb2 structure. The functional is PBE-GGA.

a = 4.918 Å, b = 8.179 Å, c = 10.771 Å
α = 104.13°, β = 103.20°, γ = 90.00°
Sites, in units of the cell vectors:
1 Rb 0.229 0.705 0.457
2 Rb 0.771 0.295 0.543
3 Rb 0.563 0.853 0.126
4 Rb 0.437 0.147 0.874
5 Tl 0.107 0.209 0.215
6 Tl 0.893 0.791 0.785
7 Tl 0.000 0.500 0.000
8 Sb 0.386 0.558 0.771
9 Sb 0.614 0.442 0.229

---

# 2
This record from Alexandria describes a geometry-optimized RbTl2Sb structure. The functional is PBE-GGA.

a = 5.146 Å, b = 5.175 Å, c = 5.175 Å
α = 90.00°, β = 90.00°, γ = 90.00°
Sites, in units of the cell vectors:
1 Sb 0.500 0.500 0.500
2 Tl 0.000 0.000 0.500
3 Tl 0.000 0.500 0.000
4 Rb 0.500 0.000 0.000

---

# 3
This record from Alexandria describes a geometry-optimized RbTl3Sb3 structure. The functional is PBE-GGA.

a = 8.439 Å, b = 8.439 Å, c = 8.439 Å
α = 90.00°, β = 90.00°, γ = 90.00°
Sites, in units of the cell vectors:
1 Sb 0.000 0.250 0.500
2 Sb 0.000 0.750 0.500
3 Sb 0.500 0.000 0.750
4 Sb 0.750 0.500 0.000
5 Sb 0.500 0.000 0.250
6 Sb 0.250 0.500 0.000
7 Tl 0.250 0.000 0.500
8 Tl 0.000 0.500 0.250
9 Tl 0.500 0.750 0.000
10 Tl 0.750 0.000 0.500
11 Tl 0.000 0.500 0.750
12 Tl 0.500 0.250 0.000
13 Rb 0.500 0.500 0.500
14 Rb 0.000 0.000 0.000

## Properties
Its polymorph energy (0 for the lowest one) is 70.4 meV/atom.

---

# 4
This record from Alexandria describes a geometry-optimized Rb2Tl5Sb structure. The functional is PBE-GGA.

a = 5.827 Å, b = 5.827 Å, c = 9.417 Å
α = 108.02°, β = 108.02°, γ = 90.00°
Sites, in units of the cell vectors:
1 Rb 0.757 0.757 0.513
2 Rb 0.243 0.243 0.487
3 Tl 0.500 0.500 0.000
4 Tl 0.901 0.401 0.802
5 Tl 0.401 0.901 0.802
6 Tl 0.099 0.599 0.198
7 Tl 0.599 0.099 0.198
8 Sb 0.000 0.000 0.000

## Properties
Its polymorph energy (0 for the lowest one) is 0.0 meV/atom.

---

# 5
This record from Alexandria describes a geometry-optimized RbTl2Sb structure. The functional is PBE-GGA.

a = 9.436 Å, b = 9.436 Å, c = 7.579 Å
α = 51.50°, β = 51.50°, γ = 90.00°
Sites, in units of the cell vectors:
1 Sb 0.000 0.000 0.000
2 Sb 0.750 0.250 0.500
3 Tl 0.684 0.125 0.250
4 Tl 0.066 0.625 0.250
5 Tl 0.375 0.316 0.750
6 Tl 0.875 0.934 0.750
7 Rb 0.500 0.500 0.000
8 Rb 0.250 0.750 0.500

---

# 6
This record from Alexandria describes a geometry-optimized RbTl2ZnSb2 structure. The functional is PBE-GGA.

a = 5.194 Å, b = 9.293 Å, c = 8.016 Å
α = 90.00°, β = 90.00°, γ = 90.00°
Sites, in units of the cell vectors:
1 Rb 0.000 0.010 0.392
2 Rb 0.000 0.510 0.608
3 Tl 0.500 0.052 0.049
4 Tl 0.000 0.350 0.161
5 Tl 0.500 0.552 0.951
6 Tl 0.000 0.850 0.839
7 Zn 0.500 0.142 0.661
8 Zn 0.500 0.642 0.339
9 Sb 0.000 0.180 0.832
10 Sb 0.500 0.312 0.372
11 Sb 0.000 0.680 0.168
12 Sb 0.500 0.812 0.628

---

| no. | calculated volume (Å³/f.u.) | total energy (eV/atom) | formation energy from raw total energies (eV/f.u.) |
| --- | --- | --- | --- |
| 1 | 408.4 | -2.35 | -1.95 |
| 2 | 137.8 | -2.50 | -0.16 |
| 3 | 300.5 | -2.90 | 0.14 |
| 4 | 287.5 | -2.33 | -0.73 |
| 5 | 160.0 | -2.56 | -0.42 |
| 6 | 193.5 | -2.63 | -0.56 |